# 1
Here is an optimized crystal structure of FeOs from Alexandria. Energies are from GGA-PBE.

Results
formation energy	3.25	eV per formula unit
Fermi-level density of states	3.7	states/eV/f.u.
E	-8.219	eV per atom
magnetization	0.1	μB/f.u.

a = 6.4068 Å, b = 6.4068 Å, c = 6.4068 Å
α = 90.00°, β = 90.00°, γ = 90.00°
Each line ends with the local moment (μB).
Fractional positions:
Fe 0.5000 0.0000 0.2500  0.10
Fe 0.7500 0.5000 0.0000  0.10
Fe 0.0000 0.2500 0.5000  0.10
Fe 0.0000 0.7500 0.5000  0.10
Fe 0.2500 0.5000 0.0000  0.10
Fe 0.5000 0.0000 0.7500  0.10
Os 0.0000 0.5000 0.2500  0.00
Os 0.7500 0.0000 0.5000  0.00
Os 0.2500 0.0000 0.5000  0.00
Os 0.0000 0.5000 0.7500  0.00
Os 0.5000 0.2500 0.0000  0.00
Os 0.5000 0.7500 0.0000  0.00



# 2
Here is an optimized crystal structure of Rb2ErGeO4 from Alexandria. Energies are from GGA-PBE.

Results
E_form (uncorrected)	-1982	meV per atom
Fermi-level density of states	1.2	states/eV/f.u.
E	-5.851	eV per atom
magnetization	0.0	μB/f.u.

a = 6.2422 Å, b = 6.2422 Å, c = 6.2422 Å
α = 87.28°, β = 121.58°, γ = 121.58°
Fractional positions:
O 0.6651 0.3855 0.5106
O 0.3349 0.8456 0.7205
O 0.8749 0.4894 0.1544
O 0.1251 0.2795 0.6145
Ge 0.0000 0.5000 0.5000
Er 0.5000 0.2500 0.7500
Rb 0.0000 0.0000 0.0000
Rb 0.5000 0.7500 0.2500



# 3
Here is an optimized crystal structure of LaPr2Sb from Alexandria. Energies are from GGA-PBE.

Results
E_form (uncorrected)	-349	meV per atom
Fermi-level density of states	3.7	states/eV/f.u.
offset from the most stable computed form	0.2432	eV per atom
E	-5.001	eV per atom
magnetization	0.0	μB/f.u.

a = 5.5902 Å, b = 5.5902 Å, c = 5.5898 Å
α = 60.00°, β = 60.00°, γ = 60.00°
Fractional positions:
La 0.5000 0.5000 0.5000
Sb 0.0000 0.0000 0.0000
Pr 0.7501 0.7501 0.7498
Pr 0.2499 0.2499 0.2502



# 4
Here is an optimized crystal structure of Y2TcHg from Alexandria. Energies are from GGA-PBE.

Results
formation energy	0.46	eV per formula unit
Fermi-level density of states	3.6	states/eV/f.u.
E	-5.784	eV per atom
magnetization	0.0	μB/f.u.

a = 3.9148 Å, b = 3.9103 Å, c = 6.2612 Å
α = 90.00°, β = 90.00°, γ = 90.00°
Fractional positions:
Y 0.0000 0.0000 0.9473
Y 0.5000 0.5000 0.2799
Hg 0.0000 0.0000 0.4870
Tc 0.5000 0.5000 0.7858



# 5
Here is an optimized crystal structure of PmNd2Pu from Alexandria. Energies are from GGA-PBE.

Results
formation energy	1.08	eV per formula unit
Fermi-level density of states	12.5	states/eV/f.u.
offset from the most stable computed form	0.1531	eV per atom
E	-6.885	eV per atom
magnetization	6.5	μB/f.u.

a = 3.5284 Å, b = 3.5284 Å, c = 12.7191 Å
α = 82.03°, β = 82.03°, γ = 60.00°
Each line ends with the local moment (μB).
Fractional positions:
Nd 0.9127 0.9127 0.2620  -0.05
Nd 0.0873 0.0873 0.7380  -0.05
Pu 0.0000 0.0000 0.0000  -5.80
Pm 0.5000 0.5000 0.5000  0.00



# 6
Here is an optimized crystal structure of Al2BiAu from Alexandria. Energies are from GGA-PBE.

Results
formation energy	0.74	eV per formula unit
Fermi-level density of states	2.5	states/eV/f.u.
offset from the most stable computed form	0.2237	eV per atom
E	-3.475	eV per atom
magnetization	0.0	μB/f.u.

a = 4.9668 Å, b = 4.9668 Å, c = 4.9668 Å
α = 60.00°, β = 60.00°, γ = 60.00°
Fractional positions:
Bi 0.5000 0.5000 0.5000
Au 0.0000 0.0000 0.0000
Al 0.2500 0.2500 0.2500
Al 0.7500 0.7500 0.7500



# 7
Here is an optimized crystal structure of TlPdCl6 from Alexandria. Energies are from GGA-PBE.

Results
E_form (uncorrected)	-459	meV per atom
Fermi-level density of states	3.2	states/eV/f.u.
E	-2.789	eV per atom
magnetization	0.9	μB/f.u.

a = 6.3894 Å, b = 6.3924 Å, c = 6.6285 Å
α = 61.17°, β = 81.90°, γ = 73.02°
Each line ends with the local moment (μB).
Fractional positions:
Cl 0.7476 0.7519 0.0000  0.06
Cl 0.2821 0.8588 0.7116  0.06
Cl 0.2524 0.2481 0.0000  0.06
Cl 0.2821 0.5704 0.2884  0.06
Cl 0.7179 0.1412 0.2884  0.06
Cl 0.7179 0.4296 0.7116  0.06
Tl 0.0000 0.0000 0.0000  0.06
Pd 0.5000 0.5000 0.0000  0.40



# 8
Here is an optimized crystal structure of CoSbCI2 from Alexandria. Energies are from GGA-PBE.

Results
E_form (uncorrected)	1642	meV per atom
Fermi-level density of states	5.8	states/eV/f.u.
offset from the most stable computed form	0.0520	eV per atom
E	-3.069	eV per atom
magnetization	1.4	μB/f.u.

a = 5.3483 Å, b = 5.3483 Å, c = 4.7697 Å
α = 90.00°, β = 90.00°, γ = 90.00°
Each line ends with the local moment (μB).
Fractional positions:
I 0.5000 0.0000 0.0000  -0.02
I 0.0000 0.5000 0.0000  -0.02
Sb 0.0000 0.0000 0.5000  -0.02
Co 0.0000 0.0000 0.0000  -0.35
C 0.5000 0.5000 0.5000  0.90



# 9
Here is an optimized crystal structure of BaSc2Co from Alexandria. Energies are from GGA-PBE.

Results
formation energy	2.58	eV per formula unit
Fermi-level density of states	5.5	states/eV/f.u.
offset from the most stable computed form	0.6095	eV per atom
E	-4.779	eV per atom
magnetization	0.7	μB/f.u.

a = 6.3932 Å, b = 6.3932 Å, c = 3.3080 Å
α = 75.36°, β = 75.36°, γ = 120.76°
Each line ends with the local moment (μB).
Fractional positions:
Sc 0.0000 0.0000 0.0000  -0.16
Sc 0.5000 0.5000 0.0000  -0.16
Ba 0.5000 0.0000 0.5000  -0.10
Co 0.0000 0.5000 0.5000  1.47



# 10
Here is an optimized crystal structure of Fe3Ni12Mo from Alexandria. Energies are from GGA-PBE.

Results
formation energy	-0.68	eV per formula unit
Fermi-level density of states	12.9	states/eV/f.u.
E	-6.642	eV per atom
magnetization	5.2	μB/f.u.

a = 3.5700 Å, b = 3.5700 Å, c = 14.2427 Å
α = 90.00°, β = 90.00°, γ = 90.00°
Each line ends with the local moment (μB).
Fractional positions:
Ni 0.5000 0.5000 0.0000  0.07
Ni 0.5000 0.0000 0.6241  0.11
Ni 0.5000 0.5000 0.7483  0.51
Ni 0.0000 0.5000 0.6241  0.11
Ni 0.5000 0.0000 0.8724  0.26
Ni 0.5000 0.5000 0.2517  0.51
Ni 0.5000 0.0000 0.1276  0.26
Ni 0.5000 0.5000 0.5000  -0.36
Ni 0.0000 0.5000 0.8724  0.26
Ni 0.5000 0.0000 0.3759  0.11
Ni 0.0000 0.5000 0.3759  0.11
Ni 0.0000 0.5000 0.1276  0.26
Fe 0.0000 0.0000 0.2571  3.01
Fe 0.0000 0.0000 0.5000  -3.01
Fe 0.0000 0.0000 0.7429  3.01
Mo 0.0000 0.0000 0.0000  0.13



# 11
Here is an optimized crystal structure of NiPbSCl2 from Alexandria. Energies are from GGA-PBE.

Results
E_form (uncorrected)	-440	meV per atom
Fermi-level density of states	2.3	states/eV/f.u.
offset from the most stable computed form	0.0000	eV per atom
E	-3.902	eV per atom
magnetization	0.0	μB/f.u.

a = 4.5765 Å, b = 4.5765 Å, c = 4.7756 Å
α = 90.00°, β = 90.00°, γ = 90.00°
Fractional positions:
Pb 0.5000 0.5000 0.5000
Ni 0.0000 0.0000 0.0000
Cl 0.0000 0.5000 0.0000
Cl 0.5000 0.0000 0.0000
S 0.0000 0.0000 0.5000



# 12
Here is an optimized crystal structure of Na2NpTiSe4 from Alexandria. Energies are from GGA-PBE.

Results
E_form (uncorrected)	-1172	meV per atom
Fermi-level density of states	10.5	states/eV/f.u.
E	-5.848	eV per atom
magnetization	5.0	μB/f.u.

a = 3.9916 Å, b = 6.8143 Å, c = 7.4171 Å
α = 108.02°, β = 90.00°, γ = 90.00°
Each line ends with the local moment (μB).
Fractional positions:
Se 0.5000 0.7397 0.7717  -0.07
Se 0.5000 0.2603 0.2283  -0.07
Se 0.0000 0.7219 0.2168  -0.06
Se 0.0000 0.2781 0.7832  -0.06
Np 0.0000 0.0000 0.0000  3.78
Ti 0.5000 0.5000 0.0000  1.07
Na 0.5000 0.0000 0.5000  0.00
Na 0.0000 0.5000 0.5000  0.00



# 13
Here is an optimized crystal structure of RbCaSb2Te from Alexandria. Energies are from GGA-PBE.

Results
E_form (uncorrected)	-125	meV per atom
Fermi-level density of states	4.9	states/eV/f.u.
offset from the most stable computed form	0.0000	eV per atom
E	-2.996	eV per atom
magnetization	0.0	μB/f.u.

a = 5.8991 Å, b = 5.8991 Å, c = 5.9509 Å
α = 90.00°, β = 90.00°, γ = 90.00°
Fractional positions:
Te 0.0000 0.0000 0.5000
Sb 0.0000 0.5000 0.0000
Sb 0.5000 0.0000 0.0000
Rb 0.5000 0.5000 0.5000
Ca 0.0000 0.0000 0.0000



# 14
Here is an optimized crystal structure of BaCr4As from Alexandria. Energies are from GGA-PBE.

Results
formation energy	5.83	eV per formula unit
Fermi-level density of states	9.8	states/eV/f.u.
E	-6.540	eV per atom
magnetization	0.0	μB/f.u.

a = 5.2509 Å, b = 5.2509 Å, c = 5.2509 Å
α = 60.00°, β = 60.00°, γ = 60.00°
Fractional positions:
Cr 0.3880 0.8360 0.3880
Cr 0.8360 0.3880 0.3880
Cr 0.3880 0.3880 0.3880
Cr 0.3880 0.3880 0.8360
Ba 0.0000 0.0000 0.0000
As 0.7500 0.7500 0.7500



# 15
Here is an optimized crystal structure of PaAlFe from Alexandria. Energies are from GGA-PBE.

Results
formation energy	-1.24	eV per formula unit
Fermi-level density of states	1.8	states/eV/f.u.
E	-7.648	eV per atom
magnetization	0.0	μB/f.u.

a = 5.8585 Å, b = 5.8878 Å, c = 6.4976 Å
α = 90.00°, β = 88.67°, γ = 90.00°
Fractional positions:
Fe 0.5241 0.6319 0.1687
Fe 0.9759 0.1319 0.3313
Fe 0.4759 0.3681 0.8313
Fe 0.0241 0.8681 0.6687
Al 0.1886 0.3809 0.1077
Al 0.8114 0.6191 0.8923
Al 0.3114 0.8809 0.3923
Al 0.6886 0.1191 0.6077
Pa 0.7059 0.1332 0.1009
Pa 0.2941 0.8668 0.8991
Pa 0.7941 0.6332 0.3991
Pa 0.2059 0.3668 0.6009



# 16
Here is an optimized crystal structure of PmHf4Se8 from Alexandria. Energies are from GGA-PBE.

Results
E_form (uncorrected)	-1297	meV per atom
Fermi-level density of states	7.7	states/eV/f.u.
E	-6.869	eV per atom
magnetization	0.0	μB/f.u.

a = 7.8731 Å, b = 7.8731 Å, c = 7.8731 Å
α = 60.00°, β = 60.00°, γ = 60.00°
Fractional positions:
Hf 0.9240 0.3587 0.3587
Hf 0.3587 0.3587 0.9240
Hf 0.3587 0.3587 0.3587
Hf 0.3587 0.9240 0.3587
Se 0.1208 0.6375 0.1208
Se 0.6077 0.6077 0.1769
Se 0.1769 0.6077 0.6077
Se 0.1208 0.1208 0.1208
Se 0.1208 0.1208 0.6375
Se 0.6077 0.1769 0.6077
Se 0.6375 0.1208 0.1208
Se 0.6077 0.6077 0.6077
Pm 0.7500 0.7500 0.7500



# 17
Here is an optimized crystal structure of Pm2NdTm4Sc from Alexandria. Energies are from GGA-PBE.

Results
formation energy	0.30	eV per formula unit
Fermi-level density of states	12.4	states/eV/f.u.
E	-4.773	eV per atom
magnetization	0.0	μB/f.u.

a = 4.9994 Å, b = 4.9952 Å, c = 11.1101 Å
α = 63.31°, β = 90.00°, γ = 90.00°
Fractional positions:
Pm 0.5000 0.0000 0.5000
Pm 0.0000 0.0000 0.0000
Tm 0.0000 0.7567 0.7432
Tm 0.5000 0.2566 0.7434
Tm 0.0000 0.2433 0.2568
Tm 0.5000 0.7434 0.2566
Sc 0.0000 0.5000 0.5000
Nd 0.5000 0.5000 0.0000



# 18
Here is an optimized crystal structure of BSbPb2 from Alexandria. Energies are from GGA-PBE.

Results
E_form (uncorrected)	558	meV per atom
Fermi-level density of states	0.1	states/eV/f.u.
offset from the most stable computed form	0.0000	eV per atom
E	-3.996	eV per atom
magnetization	0.0	μB/f.u.

a = 6.2016 Å, b = 6.2016 Å, c = 7.4557 Å
α = 65.42°, β = 65.42°, γ = 90.00°
Fractional positions:
B 0.2500 0.7500 0.5000
B 0.5000 0.5000 0.0000
Pb 0.5440 0.1250 0.2500
Pb 0.8750 0.7940 0.7500
Pb 0.3750 0.4560 0.7500
Pb 0.2060 0.6250 0.2500
Sb 0.0000 0.0000 0.0000
Sb 0.7500 0.2500 0.5000



# 19
Here is an optimized crystal structure of LaPr2HoTm4 from Alexandria. Energies are from GGA-PBE.

Results
formation energy	0.18	eV per formula unit
Fermi-level density of states	10.3	states/eV/f.u.
E	-4.597	eV per atom
magnetization	0.0	μB/f.u.

a = 10.2469 Å, b = 9.9290 Å, c = 12.2774 Å
α = 143.91°, β = 114.60°, γ = 90.08°
Fractional positions:
Tm 0.7529 0.2512 0.5022
Tm 0.2470 0.2467 0.4976
Tm 0.2469 0.7486 0.4976
Tm 0.7529 0.7529 0.0038
Tm 0.2468 0.2470 0.9960
Tm 0.7532 0.7535 0.5025
Tm 0.7531 0.2548 0.0040
Tm 0.2471 0.7453 0.9963
Pr 0.5001 0.5001 0.0002
Pr 0.5000 0.0001 0.5002
Pr 0.4999 0.9999 0.9998
Pr 0.0000 0.0000 0.4999
Ho 0.0000 0.5000 0.5001
Ho 0.0000 0.5001 0.0000
La 0.4999 0.4999 0.4998
La 0.0001 0.9999 0.0001



# 20
Here is an optimized crystal structure of BaPrZnPd from Alexandria. Energies are from GGA-PBE.

Results
formation energy	-1.14	eV per formula unit
Fermi-level density of states	3.6	states/eV/f.u.
E	-3.576	eV per atom
magnetization	0.0	μB/f.u.

a = 5.4091 Å, b = 5.4091 Å, c = 5.4091 Å
α = 60.00°, β = 60.00°, γ = 60.00°
Fractional positions:
Zn 0.0000 0.0000 0.0000
Pr 0.7500 0.7500 0.7500
Ba 0.2500 0.2500 0.2500
Pd 0.5000 0.5000 0.5000